[1]
A plane-wave DFT calculation with GGA-PBE was carried out for an optimized crystal structure of InSnP2.

Cell lengths 6.9061, 6.9061, 6.9061 Å; angles 90.00, 90.00, 90.00 degrees
With the nearest neighbours (Å) after each atom.
Space group Fm-3m (No. 225)
Asymmetric unit:
1 In 0.0000 0.0000 0.0000 (multiplicity 4)  8 P 2.99
2 Sn 0.0000 0.0000 0.5000 (multiplicity 4)  8 P 2.99
3 P 0.2500 0.2500 0.2500 (multiplicity 8)  4 In 2.99, 4 Sn 2.99

Results
energy above the most stable polymorph in this dataset	33.0	kJ/mol of atoms

***

[2]
A plane-wave DFT calculation with GGA-PBE was carried out for an optimized crystal structure of Sn12Bi3Au5.

Cell lengths 17.1095, 17.1095, 17.1095 Å; angles 90.00, 90.00, 90.00 degrees
With the nearest neighbours (Å) after each atom.
Space group Ia-3d (No. 230)
Asymmetric unit:
1 Sn 0.0304 0.0681 0.6442 (multiplicity 96)  2 Au 2.69-2.78
2 Bi 0.0000 0.2500 0.1250 (multiplicity 24)  8 Sn 3.17-3.42
3 Au 0.0000 0.0000 0.0000 (multiplicity 16)  6 Sn 2.78
4 Au 0.0000 0.2500 0.3750 (multiplicity 24)  4 Sn 2.69

Results
total energy	-74.52	eV per formula unit